# 1
Entry from Alexandria via LeMat-Bulk: a relaxed Pm4Ho8Er3 crystal (PBE).

## Properties
- Fermi-level density of states (states/eV/cell) = 22.20
- excess energy over the best structure of this formula in the dataset (eV per atom) = 0.000
- E_tot (eV per atom) = -4.50
- theoretical density (g/cm³) = 8.2
- size of the total moment (μB/atom) = 0.0003

Structure (extended XYZ):
```
15
Lattice="3.461 1.998 11.762 -3.461 1.998 11.762 0.000 -3.997 11.762" Properties=species:S:1:pos:R:3 pbc="T T T"
Pm 0.000 0.000 0.000
Pm 0.000 0.000 5.768
Pm 0.000 0.000 17.643
Pm 0.000 0.000 29.518
Ho 0.000 -1.987 14.658
Ho -1.720 0.993 14.658
Ho -1.720 -0.993 20.628
Ho 0.000 0.000 9.012
Ho 0.000 0.000 26.274
Ho 1.720 0.993 14.658
Ho 1.720 -0.993 20.628
Ho 0.000 1.987 20.628
Er -1.731 -0.999 11.762
Er -1.731 0.999 23.524
Er 0.000 1.998 11.762
```

# 2
Entry from Alexandria via LeMat-Bulk: a relaxed PmHo7Er3 crystal (PBE).

## Properties
- Fermi-level density of states (states/eV/cell) = 17.47
- excess energy over the best structure of this formula in the dataset (eV per atom) = 0.048
- E_tot (eV per atom) = -4.39
- theoretical density (g/cm³) = 8.2
- size of the total moment (μB/atom) = 0.0000

Structure (extended XYZ):
```
11
Lattice="7.014 0.000 0.000 -3.507 6.075 0.000 0.000 0.000 8.542" Properties=species:S:1:pos:R:3 pbc="T T T"
Pm 0.000 0.000 0.000
Ho -1.740 3.045 8.515
Ho 1.741 1.005 2.821
Ho 0.000 4.050 2.794
Ho 1.740 3.045 8.515
Ho 0.000 6.059 8.515
Ho 5.274 1.005 2.821
Ho 3.507 4.065 2.821
Er 0.000 2.031 5.654
Er -1.749 5.059 5.654
Er 1.749 5.059 5.654
```

# 3
Entry from Alexandria via LeMat-Bulk: a relaxed Pm4Ho3Er5 crystal (PBE).

## Properties
- Fermi-level density of states (states/eV/cell) = 19.64
- E_tot (eV per atom) = -4.39
- theoretical density (g/cm³) = 8.1
- size of the total moment (μB/atom) = 0.0468

Structure (extended XYZ):
```
12
Lattice="8.010 -2.948 0.000 8.010 2.948 0.000 -4.193 0.000 8.335" Properties=species:S:1:pos:R:3 pbc="T T T"
Pm -0.522 0.000 3.719
Pm -0.244 0.000 7.354
Pm 12.070 0.000 0.981
Pm 12.348 0.000 4.616
Ho 2.409 0.000 1.978
Ho 8.010 0.000 0.000
Ho 9.418 0.000 6.357
Er 0.000 0.000 0.000
Er 2.683 0.000 5.143
Er 5.629 0.000 2.485
Er 6.197 0.000 5.850
Er 9.143 0.000 3.191
```

# 4
Entry from Alexandria via LeMat-Bulk: a relaxed Pm3Ho4Er4 crystal (PBE).

## Properties
- Fermi-level density of states (states/eV/cell) = 16.58
- E_tot (eV per atom) = -4.56
- theoretical density (g/cm³) = 8.4
- size of the total moment (μB/atom) = 0.0000

Structure (extended XYZ):
```
11
Lattice="3.477 0.000 0.000 0.000 5.625 0.000 -1.735 -2.812 17.861" Properties=species:S:1:pos:R:3 pbc="T T T"
Pm 0.000 0.000 0.000
Pm 0.000 2.814 4.885
Pm 1.742 -0.001 12.976
Ho 0.001 0.000 9.512
Ho 0.003 2.809 14.614
Ho 1.739 0.004 3.247
Ho 1.741 2.813 8.349
Er 0.004 2.812 11.379
Er 0.004 -0.002 16.232
Er 1.737 2.815 1.630
Er 1.738 0.001 6.482
```

# 5
Entry from Alexandria via LeMat-Bulk: a relaxed Pm9Ho4Er11 crystal (PBE).

## Properties
- Fermi-level density of states (states/eV/cell) = 31.52
- E_tot (eV per atom) = -4.59
- theoretical density (g/cm³) = 8.1
- size of the total moment (μB/atom) = 0.0000

Structure (extended XYZ):
```
24
Lattice="8.333 -12.641 0.000 8.333 12.641 0.000 0.000 0.000 3.693" Properties=species:S:1:pos:R:3 pbc="T T T"
Pm 0.000 0.000 0.000
Pm 6.607 6.734 0.000
Pm 6.003 1.862 0.000
Pm 10.059 6.734 0.000
Pm 6.003 -1.862 0.000
Pm 10.662 1.862 0.000
Pm 6.607 -6.734 0.000
Pm 10.662 -1.862 0.000
Pm 10.059 -6.734 0.000
Ho 2.585 2.537 0.000
Ho 2.585 -2.537 0.000
Ho 14.080 2.537 0.000
Ho 14.080 -2.537 0.000
Er 4.570 4.560 1.847
Er 8.333 9.275 1.847
Er 3.503 0.000 1.847
Er 8.333 4.065 1.847
Er 4.570 -4.560 1.847
Er 8.333 0.000 1.847
Er 12.095 4.560 1.847
Er 8.333 -4.065 1.847
Er 13.162 0.000 1.847
Er 8.333 -9.275 1.847
Er 12.095 -4.560 1.847
```

# 6
Entry from Alexandria via LeMat-Bulk: a relaxed Pm4Ho3Er4 crystal (PBE).

## Properties
- Fermi-level density of states (states/eV/cell) = 14.98
- excess energy over the best structure of this formula in the dataset (eV per atom) = 0.055
- E_tot (eV per atom) = -4.51
- theoretical density (g/cm³) = 8.0
- size of the total moment (μB/atom) = 0.0000

Structure (extended XYZ):
```
11
Lattice="8.761 -5.827 0.000 8.761 5.827 0.000 -0.735 0.000 3.533" Properties=species:S:1:pos:R:3 pbc="T T T"
Pm 8.761 3.000 0.000
Pm 4.707 0.000 2.838
Pm 12.081 0.000 0.695
Pm 8.761 -3.000 0.000
Ho 1.950 0.000 0.425
Ho 8.394 0.000 1.766
Ho 14.838 0.000 3.108
Er 5.570 3.005 1.170
Er 11.218 3.005 2.363
Er 5.570 -3.005 1.170
Er 11.218 -3.005 2.363
```

# 7
Entry from Alexandria via LeMat-Bulk: a relaxed Pm3HoEr8 crystal (PBE).

## Properties
- Fermi-level density of states (states/eV/cell) = 16.16
- E_tot (eV per atom) = -4.31
- theoretical density (g/cm³) = 7.9
- size of the total moment (μB/atom) = 0.0000

Structure (extended XYZ):
```
12
Lattice="-3.203 5.612 5.680 3.203 -5.612 5.680 3.203 5.612 -5.680" Properties=species:S:1:pos:R:3 pbc="T T T"
Pm 0.000 0.000 0.000
Pm 3.203 0.000 2.876
Pm 0.000 5.612 2.804
Ho 0.000 0.000 5.680
Er 3.203 3.719 -2.834
Er 1.589 2.857 0.000
Er 1.615 -2.755 5.680
Er 0.000 1.893 2.847
Er 3.203 3.719 2.834
Er 1.589 8.367 0.000
Er 1.615 2.755 5.680
Er 0.000 1.893 8.514
```

# 8
Entry from Alexandria via LeMat-Bulk: a relaxed Pm3HoEr3 crystal (PBE).

## Properties
- Fermi-level density of states (states/eV/cell) = 21.84
- excess energy over the best structure of this formula in the dataset (eV per atom) = 0.149
- E_tot (eV per atom) = -4.48
- theoretical density (g/cm³) = 7.7
- size of the total moment (μB/atom) = 0.0000

Structure (extended XYZ):
```
14
Lattice="3.094 1.786 14.314 -3.094 1.786 14.314 0.000 -3.573 14.314" Properties=species:S:1:pos:R:3 pbc="T T T"
Pm -1.023 -1.799 19.940
Pm -2.069 -0.014 23.002
Pm -1.047 1.785 19.940
Pm 1.047 -1.785 23.002
Pm 2.069 0.014 19.940
Pm 1.023 1.799 23.002
Ho 0.000 0.000 14.313
Ho 0.000 0.000 28.629
Er -2.062 -0.002 17.092
Er -1.030 -1.787 25.850
Er 1.033 -1.785 17.092
Er -1.033 1.785 25.850
Er 1.030 1.787 17.092
Er 2.062 0.002 25.850
```

# 9
Entry from Alexandria via LeMat-Bulk: a relaxed Pm2HoEr3 crystal (PBE).

## Properties
- Fermi-level density of states (states/eV/cell) = 18.79
- excess energy over the best structure of this formula in the dataset (eV per atom) = 0.000
- E_tot (eV per atom) = -4.52
- theoretical density (g/cm³) = 8.3
- size of the total moment (μB/atom) = 0.0000

Structure (extended XYZ):
```
12
Lattice="8.317 -2.815 0.000 8.317 2.815 0.000 -5.235 0.000 8.212" Properties=species:S:1:pos:R:3 pbc="T T T"
Pm 1.480 0.000 0.479
Pm 4.063 0.000 2.852
Pm 7.335 0.000 5.360
Pm 9.918 0.000 7.733
Ho -2.800 0.000 5.621
Ho 14.199 0.000 2.592
Er 0.603 0.000 4.051
Er -0.133 0.000 7.678
Er 3.404 0.000 6.439
Er 7.994 0.000 1.773
Er 11.531 0.000 0.534
Er 10.795 0.000 4.161
```

# 10
Entry from Alexandria via LeMat-Bulk: a relaxed PmHo5Er2 crystal (PBE).

## Properties
- Fermi-level density of states (states/eV/cell) = 18.63
- excess energy over the best structure of this formula in the dataset (eV per atom) = 0.000
- E_tot (eV per atom) = -4.58
- theoretical density (g/cm³) = 8.7
- size of the total moment (μB/atom) = 0.0000

Structure (extended XYZ):
```
16
Lattice="7.073 0.000 0.000 0.000 14.150 0.000 0.000 0.000 4.987" Properties=species:S:1:pos:R:3 pbc="T T T"
Pm 0.000 0.000 0.000
Pm 3.537 7.075 0.000
Ho 0.000 7.075 0.000
Ho 0.007 3.550 0.000
Ho 1.759 8.855 2.494
Ho 1.777 1.781 2.494
Ho 3.530 10.625 0.000
Ho 3.537 0.000 0.000
Ho 3.544 3.525 0.000
Ho 5.296 12.369 2.494
Ho 5.314 5.294 2.494
Ho 7.067 10.600 0.000
Er 1.769 5.298 2.494
Er 1.767 12.373 2.494
Er 5.306 1.777 2.494
Er 5.304 8.852 2.494
```

# 11
Entry from Alexandria via LeMat-Bulk: a relaxed Pm5HoEr crystal (PBE).

## Properties
- Fermi-level density of states (states/eV/cell) = 11.70
- excess energy over the best structure of this formula in the dataset (eV per atom) = 0.831
- E_tot (eV per atom) = -3.69
- theoretical density (g/cm³) = 5.6
- size of the total moment (μB/atom) = 0.0000

Structure (extended XYZ):
```
7
Lattice="-2.939 4.385 6.057 2.939 -4.385 6.057 2.939 4.385 -6.057" Properties=species:S:1:pos:R:3 pbc="T T T"
Pm 0.000 0.000 0.000
Pm 2.939 0.000 3.000
Pm 2.939 2.837 0.000
Pm 0.000 1.547 6.057
Pm 0.000 4.385 3.057
Ho 2.939 0.000 0.000
Er 0.000 4.385 0.000
```

# 12
Entry from Alexandria via LeMat-Bulk: a relaxed PmHo8Er3 crystal (PBE).

## Properties
- Fermi-level density of states (states/eV/cell) = 18.33
- E_tot (eV per atom) = -3.92
- theoretical density (g/cm³) = 7.8
- size of the total moment (μB/atom) = 0.0000

Structure (extended XYZ):
```
12
Lattice="-4.317 4.317 5.645 4.317 -4.317 5.645 4.317 4.317 -5.645" Properties=species:S:1:pos:R:3 pbc="T T T"
Pm 0.000 0.000 0.000
Ho 1.091 -1.091 2.872
Ho 2.203 2.203 -0.115
Ho 2.114 -2.114 5.760
Ho -1.091 1.091 2.872
Ho 3.225 3.225 2.774
Ho 2.114 2.114 5.530
Ho -2.114 2.114 5.760
Ho 1.091 1.091 8.419
Er 4.317 0.000 2.823
Er 0.000 0.000 5.645
Er 0.000 4.317 2.823
```

# 13
Entry from Alexandria via LeMat-Bulk: a relaxed PmHo4Er crystal (PBE).

## Properties
- Fermi-level density of states (states/eV/cell) = 10.99
- excess energy over the best structure of this formula in the dataset (eV per atom) = 0.076
- E_tot (eV per atom) = -4.33
- theoretical density (g/cm³) = 8.1
- size of the total moment (μB/atom) = 0.1350

Structure (extended XYZ):
```
6
Lattice="0.000 4.633 4.633 4.633 0.000 4.633 4.633 4.633 0.000" Properties=species:S:1:pos:R:3 pbc="T T T"
Pm 0.000 0.000 0.000
Ho 5.789 3.477 3.477
Ho 3.477 5.789 3.477
Ho 3.477 3.477 5.789
Ho 5.789 5.789 5.789
Er 2.316 2.316 2.316
```

# 14
Entry from Alexandria via LeMat-Bulk: a relaxed Pm5HoEr3 crystal (PBE).

## Properties
- Fermi-level density of states (states/eV/cell) = 24.61
- excess energy over the best structure of this formula in the dataset (eV per atom) = 0.000
- E_tot (eV per atom) = -4.49
- theoretical density (g/cm³) = 7.7
- size of the total moment (μB/atom) = 0.0000

Structure (extended XYZ):
```
18
Lattice="8.207 -3.363 0.000 8.207 3.363 0.000 -4.034 0.000 10.837" Properties=species:S:1:pos:R:3 pbc="T T T"
Pm -0.404 0.019 5.976
Pm 1.613 -0.019 0.558
Pm 5.181 2.093 8.128
Pm 2.752 0.573 7.116
Pm 4.769 -0.573 1.698
Pm 7.611 0.573 9.139
Pm 9.628 -0.573 3.720
Pm 7.198 -2.093 2.709
Pm 10.767 0.019 10.279
Pm 12.784 -0.019 4.861
Ho 7.198 1.615 2.709
Ho 5.181 -1.615 8.128
Er 0.395 0.643 9.464
Er 2.412 -0.643 4.045
Er 8.207 0.000 0.000
Er 6.190 0.000 5.418
Er 9.968 0.643 6.791
Er 11.985 -0.643 1.373
```

# 15
Entry from Alexandria via LeMat-Bulk: a relaxed Pm4HoEr6 crystal (PBE).

## Properties
- Fermi-level density of states (states/eV/cell) = 13.59
- excess energy over the best structure of this formula in the dataset (eV per atom) = 0.000
- E_tot (eV per atom) = -4.33
- theoretical density (g/cm³) = 7.8
- size of the total moment (μB/atom) = 0.0000

Structure (extended XYZ):
```
11
Lattice="-3.302 3.302 8.482 3.302 -3.302 8.482 3.302 3.302 -8.482" Properties=species:S:1:pos:R:3 pbc="T T T"
Pm 2.054 -2.054 5.511
Pm 1.249 1.249 2.971
Pm -2.054 2.054 5.511
Pm 2.054 2.054 11.453
Ho 0.000 0.000 0.000
Er 3.302 0.000 0.000
Er 2.123 2.123 -2.138
Er 1.180 -1.180 10.620
Er 0.000 3.302 0.000
Er 1.180 1.180 6.344
Er -1.180 1.180 10.620
```

# 16
Entry from Alexandria via LeMat-Bulk: a relaxed Pm2Ho7Er2 crystal (PBE).

## Properties
- Fermi-level density of states (states/eV/cell) = 16.72
- excess energy over the best structure of this formula in the dataset (eV per atom) = 0.007
- E_tot (eV per atom) = -4.44
- theoretical density (g/cm³) = 8.3
- size of the total moment (μB/atom) = 0.0000

Structure (extended XYZ):
```
11
Lattice="5.563 -5.758 0.000 5.563 5.758 0.000 -2.372 0.000 5.527" Properties=species:S:1:pos:R:3 pbc="T T T"
Pm 5.563 3.292 0.000
Pm 5.563 -3.292 0.000
Ho -1.186 0.000 2.764
Ho 2.859 3.040 1.806
Ho 2.414 0.000 0.464
Ho 5.896 3.040 3.721
Ho 2.859 -3.040 1.806
Ho 6.340 0.000 5.064
Ho 5.896 -3.040 3.721
Er 2.893 0.000 3.831
Er 5.862 0.000 1.696
```

# 17
Entry from Alexandria via LeMat-Bulk: a relaxed PmHo4Er3 crystal (PBE).

## Properties
- Fermi-level density of states (states/eV/cell) = 11.36
- excess energy over the best structure of this formula in the dataset (eV per atom) = 0.017
- E_tot (eV per atom) = -4.57
- theoretical density (g/cm³) = 8.7
- size of the total moment (μB/atom) = 0.0000

Structure (extended XYZ):
```
8
Lattice="3.537 0.000 0.000 0.000 7.055 0.000 0.000 0.000 9.978" Properties=species:S:1:pos:R:3 pbc="T T T"
Pm 0.000 0.000 0.000
Ho 1.768 1.775 2.514
Ho 1.768 1.775 7.465
Ho 1.768 5.280 2.514
Ho 1.768 5.280 7.465
Er 0.000 0.000 4.989
Er 0.000 3.527 0.000
Er 0.000 3.527 4.989
```

# 18
Entry from Alexandria via LeMat-Bulk: a relaxed PmHo5Er5 crystal (PBE).

## Properties
- Fermi-level density of states (states/eV/cell) = 15.95
- excess energy over the best structure of this formula in the dataset (eV per atom) = 0.000
- E_tot (eV per atom) = -4.44
- theoretical density (g/cm³) = 8.5
- size of the total moment (μB/atom) = 0.0000

Structure (extended XYZ):
```
11
Lattice="6.771 0.000 0.000 2.035 6.627 0.000 1.852 1.447 7.899" Properties=species:S:1:pos:R:3 pbc="T T T"
Pm 0.000 0.000 0.000
Ho 1.017 3.314 0.000
Ho 3.014 4.684 2.832
Ho 4.973 6.008 5.176
Ho 5.686 2.067 2.723
Ho 7.645 3.390 5.068
Er 2.283 1.371 2.515
Er 4.223 2.685 5.660
Er 4.403 3.314 0.000
Er 6.435 5.389 2.240
Er 8.375 6.703 5.384
```

# 19
Entry from Alexandria via LeMat-Bulk: a relaxed Pm6Ho2Er5 crystal (PBE).

## Properties
- Fermi-level density of states (states/eV/cell) = 30.65
- E_tot (eV per atom) = -4.55
- theoretical density (g/cm³) = 7.9
- size of the total moment (μB/atom) = 0.0000

Structure (extended XYZ):
```
26
Lattice="11.653 0.000 0.000 0.000 20.406 0.000 0.000 0.000 3.602" Properties=species:S:1:pos:R:3 pbc="T T T"
Pm 0.697 1.633 0.000
Pm 0.968 7.486 0.000
Pm 2.010 12.939 1.801
Pm 3.816 2.736 1.801
Pm 4.858 17.690 0.000
Pm 5.129 11.836 0.000
Pm 6.523 8.571 0.000
Pm 6.795 2.717 0.000
Pm 7.837 17.671 1.801
Pm 9.642 7.468 1.801
Pm 10.684 12.920 0.000
Pm 10.956 18.774 0.000
Ho 1.924 16.107 0.000
Ho 3.902 5.904 0.000
Ho 7.750 14.503 0.000
Ho 9.729 4.299 0.000
Er 0.000 10.203 1.801
Er 1.090 4.611 1.801
Er 2.312 19.281 1.801
Er 3.514 9.078 1.801
Er 4.736 14.814 1.801
Er 5.826 0.000 1.801
Er 6.916 5.592 1.801
Er 8.138 11.328 1.801
Er 9.341 1.125 1.801
Er 10.563 15.795 1.801
```

# 20
Entry from Alexandria via LeMat-Bulk: a relaxed Pm2Ho7Er crystal (PBE).

## Properties
- Fermi-level density of states (states/eV/cell) = 13.08
- excess energy over the best structure of this formula in the dataset (eV per atom) = 0.000
- E_tot (eV per atom) = -4.59
- theoretical density (g/cm³) = 8.5
- size of the total moment (μB/atom) = 0.0000

Structure (extended XYZ):
```
10
Lattice="6.133 0.000 0.000 1.022 6.053 0.000 3.056 2.574 8.487" Properties=species:S:1:pos:R:3 pbc="T T T"
Pm 1.529 0.773 2.543
Pm 8.682 7.854 5.944
Ho 0.511 3.026 0.000
Ho 3.577 4.563 5.095
Ho 4.592 2.321 7.644
Ho 3.580 3.535 1.694
Ho 6.631 5.092 6.793
Ho 5.619 6.306 0.843
Ho 6.634 4.064 3.392
Er 4.594 1.287 4.243
```